# 1
Material: SmSnRh
Method: DFT, meta-GGA SCAN
State: single point on PBEsol structure

a = 3.968 Å, b = 7.420 Å, c = 7.420 Å
α = 120.00°, β = 90.00°, γ = 90.00°
Fractional coordinates of all 9 atoms:
Sn: 0.500 0.000 0.255
Sn: 0.500 0.255 0.000
Sn: 0.500 0.745 0.745
Rh: 0.000 0.000 0.000
Rh: 0.500 0.333 0.667
Rh: 0.500 0.667 0.333
Sm: 0.000 0.411 0.411
Sm: 0.000 0.589 0.000
Sm: 0.000 0.000 0.589

## Properties
- Magnetization: 0.00 μB/atom
- Calculated density: 9.793 g cm⁻³
- ΔH_f (0 K): -0.9944 eV per atom
- N(E_F): 0.8974 states/eV per atom

***

# 2
Material: Cd2AsRu
Method: DFT, meta-GGA SCAN
State: single point on PBEsol structure

a = 4.080 Å, b = 4.080 Å, c = 5.030 Å
α = 113.93°, β = 113.93°, γ = 90.00°
Fractional coordinates of all 4 atoms:
Cd: 0.000 0.000 0.000
Cd: 0.750 0.250 0.500
Ru: 0.500 0.500 0.000
As: 0.250 0.750 0.500

## Properties
- Magnetization: 0.00 μB/atom
- Calculated density: 9.705 g cm⁻³
- ΔH_f (0 K): 0.2911 eV per atom
- N(E_F): 0.8888 states/eV per atom

***

# 3
Material: MgSN2O
Method: DFT, meta-GGA SCAN
State: single point on PBEsol structure

a = 3.765 Å, b = 3.749 Å, c = 3.749 Å
α = 90.00°, β = 90.00°, γ = 90.00°
Fractional coordinates of all 5 atoms:
Mg: 0.500 0.500 0.500
S: 0.500 0.000 0.000
O: 0.000 0.000 0.000
N: 0.000 0.500 0.000
N: 0.000 0.000 0.500

## Properties
- Magnetization: 0.00 μB/atom
- Calculated density: 3.150 g cm⁻³
- Formation energy (no corrections): 1.48 eV per atom
- N(E_F): 0.2318 states/eV per atom

***

# 4
Material: KSrW2
Method: DFT, meta-GGA SCAN
State: single point on PBEsol structure

a = 2.740 Å, b = 5.443 Å, c = 6.319 Å
α = 115.51°, β = 90.00°, γ = 90.00°
Fractional coordinates of all 4 atoms:
W: 0.000 0.000 0.500
W: 0.000 0.500 0.500
K: 0.500 0.000 0.000
Sr: 0.500 0.500 0.000

## Properties
- Magnetization: 0.00 μB/atom
- Calculated density: 9.654 g cm⁻³
- ΔH_f (0 K): 1.6429 eV per atom
- Excess energy over the best structure of this formula in the dataset: 0.36 eV/f.u.
- N(E_F): 0.7545 states/eV per atom

***

# 5
Material: SnSe2N
Method: DFT, meta-GGA SCAN
State: single point on PBEsol structure

a = 3.795 Å, b = 3.795 Å, c = 7.747 Å
α = 75.82°, β = 75.82°, γ = 60.00°
Fractional coordinates of all 4 atoms:
Se: 0.078 0.078 0.765
Se: 0.922 0.922 0.235
Sn: 0.500 0.500 0.500
N: 0.000 0.000 0.000

## Properties
- Magnetization: 0.00 μB/atom
- Calculated density: 5.208 g cm⁻³
- Formation energy (no corrections): 0.69 eV per atom
- N(E_F): 0.4264 states/eV per atom

***

# 6
Material: LaTc2Te
Method: DFT, meta-GGA SCAN
State: single point on PBEsol structure

a = 3.157 Å, b = 4.157 Å, c = 6.503 Å
α = 90.00°, β = 101.70°, γ = 90.00°
Fractional coordinates of all 4 atoms:
Tc: 0.684 0.500 0.191
Tc: 0.005 0.000 0.080
Te: 0.584 0.000 0.451
La: 0.226 0.500 0.778

## Properties
- Magnetization: 0.00 μB/atom
- Calculated density: 9.189 g cm⁻³
- Formation energy (no corrections): 0.01 eV per atom
- Excess energy over the best structure of this formula in the dataset: 0.00 eV/f.u.
- N(E_F): 1.0112 states/eV per atom

***

# 7
Material: NbZnIrSe2
Method: DFT, meta-GGA SCAN
State: single point on PBEsol structure

a = 4.817 Å, b = 4.817 Å, c = 4.961 Å
α = 90.00°, β = 90.00°, γ = 90.00°
Last column: magnetic moment on the atom in μB.
Fractional coordinates of all 5 atoms:
Se: 0.000 0.500 0.000  -0.17
Se: 0.500 0.000 0.000  -0.17
Ir: 0.000 0.000 0.000  -0.20
Nb: 0.000 0.000 0.500  1.72
Zn: 0.500 0.500 0.500  -0.06

## Properties
- Magnetization: 0.30 μB/atom
- Calculated density: 7.334 g cm⁻³
- Formation energy (no corrections): 0.81 eV per atom
- N(E_F): 0.9971 states/eV per atom

***

# 8
Material: TaGaN2O
Method: DFT, meta-GGA SCAN
State: single point on PBEsol structure

a = 3.882 Å, b = 4.089 Å, c = 4.089 Å
α = 90.00°, β = 90.00°, γ = 90.00°
Fractional coordinates of all 5 atoms:
N: 0.000 0.000 0.500
N: 0.000 0.500 0.000
Ga: 0.500 0.500 0.500
Ta: 0.000 0.000 0.000
O: 0.500 0.000 0.000

## Properties
- Magnetization: 0.00 μB/atom
- Calculated density: 7.537 g cm⁻³
- Formation energy (no corrections): -0.44 eV per atom
- N(E_F): 0.4394 states/eV per atom

***

# 9
Material: LaAsSeBr2
Method: DFT, meta-GGA SCAN
State: single point on PBEsol structure

a = 5.548 Å, b = 5.548 Å, c = 6.204 Å
α = 90.00°, β = 90.00°, γ = 90.00°
Last column: magnetic moment on the atom in μB.
Fractional coordinates of all 5 atoms:
Se: 0.500 0.500 0.500  0.50
La: 0.000 0.000 0.000  0.02
Br: 0.500 0.000 0.000  0.03
Br: 0.000 0.500 0.000  0.03
As: 0.000 0.000 0.500  0.54

## Properties
- Magnetization: 0.44 μB/atom
- Calculated density: 3.935 g cm⁻³
- Formation energy (no corrections): -0.47 eV per atom
- N(E_F): 0.4838 states/eV per atom

***

# 10
Material: RbLa2Rh
Method: DFT, meta-GGA SCAN
State: single point on PBEsol structure

a = 5.333 Å, b = 5.333 Å, c = 5.333 Å
α = 60.00°, β = 60.00°, γ = 60.00°
Fractional coordinates of all 4 atoms:
Rb: 0.000 0.000 0.000
La: 0.750 0.750 0.750
La: 0.250 0.250 0.250
Rh: 0.500 0.500 0.500

## Properties
- Magnetization: 0.00 μB/atom
- Calculated density: 7.218 g cm⁻³
- ΔH_f (0 K): 0.2286 eV per atom
- N(E_F): 1.2802 states/eV per atom

***

# 11
Material: CrW2F
Method: DFT, meta-GGA SCAN
State: single point on PBEsol structure

a = 4.202 Å, b = 4.202 Å, c = 4.202 Å
α = 60.00°, β = 60.00°, γ = 60.00°
Fractional coordinates of all 4 atoms:
W: 0.250 0.250 0.250
W: 0.750 0.750 0.750
F: 0.000 0.000 0.000
Cr: 0.500 0.500 0.500

## Properties
- Magnetization: 0.00 μB/atom
- Calculated density: 13.887 g cm⁻³
- Formation energy (no corrections): 0.51 eV per atom
- N(E_F): 0.7741 states/eV per atom

***

# 12
Material: KBaHg
Method: DFT, meta-GGA SCAN
State: single point on PBEsol structure

a = 5.725 Å, b = 5.725 Å, c = 5.725 Å
α = 60.00°, β = 60.00°, γ = 60.00°
Last column: magnetic moment on the atom in μB.
Fractional coordinates of all 3 atoms:
Hg: 0.000 0.000 0.000  0.08
Ba: 0.250 0.250 0.250  0.14
K: 0.500 0.500 0.500  0.02

## Properties
- Magnetization: 0.29 μB/atom
- Calculated density: 4.718 g cm⁻³
- ΔH_f (0 K): 0.0273 eV per atom
- N(E_F): 1.2297 states/eV per atom